(1)
DFT (GGA-PBE) results for Y2SiTe after structural relaxation.

Lattice parameters (Å, degrees): 6.198 6.198 6.198 139.45 139.45 58.69
Sites, in units of the cell vectors:
Y  0.000  0.000  0.000
Y  0.750  0.250  0.500
Si  0.250  0.750  0.500
Te  0.500  0.500  0.000

Distance to the lowest polymorph of the same formula = 427 meV/atom
Symmetry = I-4m2 (119)
Formation energy without anion corrections = -2.785 eV/f.u.
Total moment = 0.00 μB/f.u.



(2)
DFT (GGA-PBE) results for EuEr2Hg after structural relaxation.

Lattice parameters (Å, degrees): 3.617 3.617 9.245 90.00 90.00 90.00
Sites, in units of the cell vectors:
Eu  0.000  0.000  0.000
Er  0.500  0.500  0.293
Er  0.500  0.500  0.707
Hg  0.000  0.000  0.500

Distance to the lowest polymorph of the same formula = 0 meV/atom
Symmetry = P4/mmm (123)
DFT formation energy = -0.159 eV/atom
Total moment = 7.99 μB/f.u.